Material: Ta2NiPd7
Method: DFT, PBE
State: relaxed

Cell and atoms, written as extended XYZ:
```
10
Lattice="3.747 -8.369 0.000 3.747 8.369 0.000 0.000 0.000 2.787" Properties=species:S:1:pos:R:3 pbc="T T T"
Ta 3.747 5.677 0.000
Ta 3.747 -5.677 0.000
Ni 3.747 0.000 1.394
Pd 0.000 0.000 0.000
Pd 2.224 1.581 0.000
Pd 3.747 3.452 1.394
Pd 2.224 -1.581 0.000
Pd 5.270 1.581 0.000
Pd 3.747 -3.452 1.394
Pd 5.270 -1.581 0.000
```

Values from the calculation:
Magnetization: 0.28 μB per formula unit
Formation energy: 162 meV per atom

Material: Ta2Ni2Pd
Method: DFT, PBE
State: relaxed

Cell and atoms, written as extended XYZ:
```
10
Lattice="6.749 0.000 0.000 0.000 6.749 0.000 0.000 0.000 3.224" Properties=species:S:1:pos:R:3 pbc="T T T"
Ta 1.165 2.209 0.000
Ta 2.209 5.584 0.000
Ta 4.540 1.165 0.000
Ta 5.584 4.540 0.000
Ni 0.852 4.227 1.612
Ni 2.522 0.852 1.612
Ni 4.227 5.897 1.612
Ni 5.897 2.522 1.612
Pd 0.000 0.000 1.612
Pd 3.375 3.375 1.612
```

Values from the calculation:
ΔE to the lowest computed polymorph: 0 kJ/mol of formula units
Magnetization: 0.00 μB per formula unit
Formation energy: -274 meV per atom

Material: TaNi3Pd
Method: DFT, PBE
State: relaxed

Cell and atoms, written as extended XYZ:
```
10
Lattice="2.457 1.418 6.340 -2.457 1.418 6.340 0.000 -2.837 6.340" Properties=species:S:1:pos:R:3 pbc="T T T"
Ta 0.000 0.000 1.493
Ta 0.000 0.000 17.527
Ni -1.254 -0.724 8.571
Ni 0.000 -1.448 10.449
Ni -1.254 0.724 10.449
Ni 1.254 -0.724 8.571
Ni 0.000 1.448 8.571
Ni 1.254 0.724 10.449
Pd 0.000 0.000 6.355
Pd 0.000 0.000 12.666
```

Values from the calculation:
ΔE to the lowest computed polymorph: 0 kJ/mol of formula units
Magnetization: 0.00 μB per formula unit
Formation energy: -128 meV per atom

Material: Ta2NiPd8
Method: DFT, PBE
State: relaxed

Cell and atoms, written as extended XYZ:
```
11
Lattice="7.195 -2.227 0.000 7.195 2.227 0.000 -2.445 0.000 5.413" Properties=species:S:1:pos:R:3 pbc="T T T"
Ta 2.290 0.000 1.033
Ta 9.656 0.000 4.379
Ni 5.973 0.000 2.706
Pd -0.565 0.000 1.266
Pd 12.511 0.000 4.147
Pd 0.901 0.000 3.675
Pd 3.657 0.000 3.414
Pd 4.987 0.000 0.494
Pd 6.959 0.000 4.919
Pd 8.289 0.000 1.999
Pd 11.044 0.000 1.738
```

Values from the calculation:
Magnetization: 0.75 μB per formula unit
Formation energy: -244 meV per atom

Material: TaNi4Pd
Method: DFT, PBE
State: relaxed

Cell and atoms, written as extended XYZ:
```
6
Lattice="0.000 3.343 3.343 3.343 0.000 3.343 3.343 3.343 0.000" Properties=species:S:1:pos:R:3 pbc="T T T"
Ta 0.000 0.000 0.000
Ni 4.178 2.508 2.508
Ni 2.508 4.178 2.508
Ni 2.508 2.508 4.178
Ni 4.178 4.178 4.178
Pd 1.672 1.672 1.672
```

Values from the calculation:
Magnetization: 0.00 μB per formula unit
Formation energy: -317 meV per atom

Material: TaNi3Pd2
Method: DFT, PBE
State: relaxed

Cell and atoms, written as extended XYZ:
```
12
Lattice="0.000 4.214 7.344 2.637 0.000 7.344 2.637 4.214 0.000" Properties=species:S:1:pos:R:3 pbc="T T T"
Ta 2.637 4.214 2.448
Ta 2.637 4.214 12.240
Ni 2.637 2.140 6.143
Ni 2.637 2.140 8.545
Ni 2.637 4.214 4.953
Ni 2.637 4.214 9.735
Ni 2.637 6.288 6.143
Ni 2.637 6.288 8.545
Pd 1.319 2.107 3.672
Pd 3.957 4.214 7.344
Pd 1.317 4.214 7.344
Pd 3.956 6.321 11.016
```

Values from the calculation:
ΔE to the lowest computed polymorph: 65 kJ/mol of formula units
Magnetization: 0.00 μB per formula unit
Formation energy: -151 meV per atom

Material: TaNi2Pd2
Method: DFT, PBE
State: relaxed

Cell and atoms, written as extended XYZ:
```
10
Lattice="6.268 0.000 0.000 0.000 6.268 0.000 0.000 0.000 3.668" Properties=species:S:1:pos:R:3 pbc="T T T"
Ta 0.000 0.000 0.000
Ta 3.134 3.134 0.000
Ni 0.816 2.318 0.000
Ni 2.318 5.452 0.000
Ni 3.950 0.816 0.000
Ni 5.452 3.950 0.000
Pd 1.044 4.178 1.834
Pd 2.090 1.044 1.834
Pd 4.178 5.224 1.834
Pd 5.224 2.090 1.834
```

Values from the calculation:
ΔE to the lowest computed polymorph: 0 kJ/mol of formula units
Magnetization: 0.00 μB per formula unit
Formation energy: -77 meV per atom

Material: TaNiPd4
Method: DFT, PBE
State: relaxed

Cell and atoms, written as extended XYZ:
```
12
Lattice="5.541 0.000 0.000 0.000 6.832 0.000 0.000 0.000 5.378" Properties=species:S:1:pos:R:3 pbc="T T T"
Ta 1.385 0.000 0.936
Ta 4.155 0.000 4.442
Ni 1.385 3.416 3.589
Ni 4.155 3.416 1.788
Pd 0.000 1.439 2.689
Pd 0.000 2.016 0.000
Pd 0.000 4.816 0.000
Pd 0.000 5.392 2.689
Pd 2.770 1.439 2.689
Pd 2.770 2.016 0.000
Pd 2.770 4.816 0.000
Pd 2.770 5.392 2.689
```

Values from the calculation:
ΔE to the lowest computed polymorph: 109 kJ/mol of formula units
Magnetization: 0.60 μB per formula unit
Formation energy: 24 meV per atom